# 1
Material: La2MgGe3Pt12
Method: DFT, PBE
State: relaxed

The structure in extended XYZ format:
```
18
Lattice="4.188 2.418 6.106 -4.188 2.418 6.106 0.000 -4.836 6.106" Properties=species:S:1:pos:R:3 pbc="T T T"
La 0.000 0.000 2.061
La 0.000 0.000 16.257
Mg 0.000 0.000 9.159
Ge -2.094 -1.209 6.106
Ge -2.094 1.209 12.212
Ge 0.000 2.418 6.106
Pt -2.144 -1.238 8.528
Pt 0.000 -2.246 5.370
Pt -1.945 1.123 5.370
Pt 0.000 -2.476 9.789
Pt -2.144 1.238 9.789
Pt -1.945 -1.123 12.948
Pt 1.945 1.123 5.370
Pt 2.144 -1.238 8.528
Pt 0.000 2.476 8.528
Pt 1.945 -1.123 12.948
Pt 0.000 2.246 12.948
Pt 2.144 1.238 9.789
```

Calculated values
**ρ**: 12.806 g/cm3
**Size of the total moment**: 0.00 μB/f.u.
**D(E_F)**: 6.7 states/eV/cell
**E_tot**: -5.8421 eV/atom
**ΔH_f (0 K)**: -0.409 eV per atom


# 2
Material: MgAlPt
Method: DFT, PBE
State: relaxed

The structure in extended XYZ format:
```
6
Lattice="5.066 0.000 0.000 0.000 4.381 0.000 -1.775 0.000 5.149" Properties=species:S:1:pos:R:3 pbc="T T T"
Mg 0.117 1.095 2.095
Mg 3.174 3.286 3.054
Al 1.751 3.286 0.288
Al 1.540 1.095 4.861
Pt -0.962 1.095 4.548
Pt 4.253 3.286 0.601
```

Calculated values
**ρ**: 7.160 g/cm3
**Size of the total moment**: 0.00 μB/f.u.
**D(E_F)**: 2.2 states/eV/cell
**E_tot**: -4.5669 eV/atom
**ΔH_f (0 K)**: -0.774 eV per atom


# 3
Material: Tb3PmNdTh
Method: DFT, PBE
State: relaxed

The structure in extended XYZ format:
```
12
Lattice="10.013 -2.822 0.000 10.013 2.822 0.000 -0.049 0.000 7.052" Properties=species:S:1:pos:R:3 pbc="T T T"
Tb 0.441 0.000 1.770
Tb 5.576 0.000 1.748
Tb 6.826 0.000 5.273
Tb 13.151 0.000 1.780
Tb 14.401 0.000 5.304
Tb 19.536 0.000 5.282
Pm 2.932 0.000 3.778
Pm 17.045 0.000 3.274
Nd 2.880 0.000 6.769
Nd 17.096 0.000 0.284
Th 8.899 0.000 1.837
Th 11.078 0.000 5.215
```

Calculated values
**ρ**: 8.316 g/cm3
**Size of the total moment**: 0.00 μB/f.u.
**D(E_F)**: 16.9 states/eV/cell
**E_tot**: -4.9268 eV/atom
**ΔH_f (0 K)**: 0.211 eV per atom


> Look up the ΔH_f (0 K) of the third one.

0.211 eV per atom